*P*
SrCoNi, optimized geometry, DFT GGA-PBE; SG = F-43m, No. 216
1.0
0.000 3.209 3.209
3.209 0.000 3.209
3.209 3.209 0.000
Sr Co Ni
1 1 1
Direct
0.000 0.000 0.000 Sr
0.500 0.500 0.500 Co
0.250 0.250 0.250 Ni


*Q*
SrCoNi, optimized geometry, DFT GGA-PBE; SG = P-6m2, No. 187
1.0
3.951 0.000 0.000
-1.976 3.422 0.000
0.000 0.000 4.605
Sr Co Ni
1 1 1
Direct
0.000 0.000 0.000 Sr
0.667 0.333 0.500 Co
0.333 0.667 0.500 Ni


Relative energies in kJ/mol of atoms: *P* 51.5; *Q* 0.0


*P*
SrCo3Ni, optimized geometry, DFT GGA-PBE; SG = Pm-3m, No. 221
1.0
4.612 0.000 0.000
0.000 4.612 0.000
0.000 0.000 4.612
Sr Co Ni
1 3 1
Direct
0.000 0.000 0.000 Sr
0.000 0.000 0.500 Co
0.000 0.500 0.000 Co
0.500 0.000 0.000 Co
0.500 0.500 0.500 Ni


*Q*
SrCo3Ni, optimized geometry, DFT GGA-PBE; SG = Pm-3m, No. 221
1.0
4.492 0.000 0.000
0.000 4.492 0.000
0.000 0.000 4.492
Sr Co Ni
1 3 1
Direct
0.000 0.000 0.000 Sr
0.000 0.500 0.500 Co
0.500 0.000 0.500 Co
0.500 0.500 0.000 Co
0.500 0.500 0.500 Ni


Relative energies in kJ/mol of atoms: *P* 168.1; *Q* 0.0


*P*
TaCoNi6, optimized geometry, DFT GGA-PBE; SG = Cmmm, No. 65
1.0
3.591 -5.107 0.000
3.591 5.107 0.000
0.000 0.000 10.203
Ta Co Ni
4 4 24
Direct
0.000 0.000 0.245 Ta
0.000 0.000 0.755 Ta
0.245 0.755 0.500 Ta
0.755 0.245 0.500 Ta
0.243 0.757 0.000 Co
0.500 0.500 0.243 Co
0.500 0.500 0.757 Co
0.757 0.243 0.000 Co
0.000 0.000 0.000 Ni
0.000 0.000 0.500 Ni
0.129 0.381 0.123 Ni
0.129 0.381 0.877 Ni
0.131 0.379 0.372 Ni
0.131 0.379 0.628 Ni
0.252 0.748 0.246 Ni
0.252 0.748 0.754 Ni
0.379 0.131 0.372 Ni
0.379 0.131 0.628 Ni
0.381 0.129 0.123 Ni
0.381 0.129 0.877 Ni
0.500 0.500 0.000 Ni
0.500 0.500 0.500 Ni
0.619 0.871 0.123 Ni
0.619 0.871 0.877 Ni
0.621 0.869 0.372 Ni
0.621 0.869 0.628 Ni
0.748 0.252 0.246 Ni
0.748 0.252 0.754 Ni
0.869 0.621 0.372 Ni
0.869 0.621 0.628 Ni
0.871 0.619 0.123 Ni
0.871 0.619 0.877 Ni


*Q*
TaCoNi6, optimized geometry, DFT GGA-PBE; SG = P4/mmm, No. 123
1.0
5.119 0.000 0.000
0.000 5.119 0.000
0.000 0.000 3.571
Ta Co Ni
1 1 6
Direct
0.000 0.000 0.000 Ta
0.500 0.500 0.000 Co
0.000 0.500 0.000 Ni
0.256 0.256 0.500 Ni
0.256 0.744 0.500 Ni
0.500 0.000 0.000 Ni
0.744 0.256 0.500 Ni
0.744 0.744 0.500 Ni


Relative energies in kJ/mol of atoms: *P* 0.0; *Q* 0.5


*P*
Ta4CoNi, optimized geometry, DFT GGA-PBE; SG = F-43m, No. 216
1.0
0.000 3.748 3.748
3.748 0.000 3.748
3.748 3.748 0.000
Ta Co Ni
4 1 1
Direct
0.125 0.125 0.125 Ta
0.125 0.125 0.626 Ta
0.125 0.626 0.125 Ta
0.626 0.125 0.125 Ta
0.750 0.750 0.750 Co
0.500 0.500 0.500 Ni


*Q*
Ta4CoNi, optimized geometry, DFT GGA-PBE; SG = P4/mcc, No. 124
1.0
6.191 0.000 0.000
0.000 6.191 0.000
0.000 0.000 4.914
Ta Co Ni
8 2 2
Direct
0.157 0.338 0.000 Ta
0.157 0.662 0.500 Ta
0.338 0.157 0.500 Ta
0.338 0.843 0.000 Ta
0.662 0.157 0.000 Ta
0.662 0.843 0.500 Ta
0.843 0.338 0.500 Ta
0.843 0.662 0.000 Ta
0.000 0.000 0.250 Co
0.000 0.000 0.750 Co
0.500 0.500 0.250 Ni
0.500 0.500 0.750 Ni


Relative energies in kJ/mol of atoms: *P* 90.1; *Q* 0.0